[1]
Tb2Pm5In5 | PBE | optimized geometry

CIF file:
```
data_Tb2Pm5In5
_cell_length_a 11.713
_cell_length_b 5.261
_cell_length_c 12.184
_cell_angle_alpha 90.00
_cell_angle_beta 109.42
_cell_angle_gamma 90.00
_space_group_name_H-M_alt 'C 1 2/m 1'
_space_group_IT_number 12
_space_group_name_Hall '-C 2y'
loop_
_atom_site_label
_atom_site_type_symbol
_atom_site_fract_x
_atom_site_fract_y
_atom_site_fract_z
Tb1 Tb 0.070 0.000 0.258
Pm1 Pm 0.000 0.500 0.000
Pm2 Pm 0.135 0.500 0.775
Pm3 Pm 0.155 0.500 0.501
In1 In 0.000 0.000 0.500
In2 In 0.172 0.000 0.961
In3 In 0.230 0.500 0.270
```

Calculated values
Energy of formation = -0.3174 eV per atom
DOS at the Fermi energy = 12.51 states/eV/f.u.

=====

[2]
TaCd2Os | PBE | optimized geometry

CIF file:
```
data_TaCd2Os
_cell_length_a 3.109
_cell_length_b 3.116
_cell_length_c 7.854
_cell_angle_alpha 90.00
_cell_angle_beta 90.13
_cell_angle_gamma 90.00
_space_group_name_H-M_alt 'P 1 m 1'
_space_group_IT_number 6
_space_group_name_Hall 'P -2y'
loop_
_atom_site_label
_atom_site_type_symbol
_atom_site_fract_x
_atom_site_fract_y
_atom_site_fract_z
Ta1 Ta 0.000 0.000 0.000
Cd1 Cd 0.003 0.000 0.437
Cd2 Cd 0.499 0.500 0.718
Os1 Os 0.502 0.500 0.183
```

Calculated values
Energy relative to the lowest polymorph listed for this composition = 0.0 meV per atom
Energy of formation = 0.1148 eV per atom
DOS at the Fermi energy = 3.50 states/eV/f.u.

=====

[3]
KAsOs2 | PBE | optimized geometry

CIF file:
```
data_KAsOs2
_cell_length_a 2.634
_cell_length_b 4.999
_cell_length_c 5.642
_cell_angle_alpha 90.00
_cell_angle_beta 90.00
_cell_angle_gamma 90.00
_space_group_name_H-M_alt 'P m m m'
_space_group_IT_number 47
_space_group_name_Hall '-P 2 2'
loop_
_atom_site_label
_atom_site_type_symbol
_atom_site_fract_x
_atom_site_fract_y
_atom_site_fract_z
K1 K 0.000 0.000 0.000
As1 As 0.500 0.500 0.000
Os1 Os 0.000 0.500 0.500
Os2 Os 0.500 0.000 0.500
```

Calculated values
Energy of formation = 1.2898 eV per atom
DOS at the Fermi energy = 3.43 states/eV/f.u.

=====

[4]
Mg3NbMo | PBE | optimized geometry

CIF file:
```
data_Mg3NbMo
_cell_length_a 4.908
_cell_length_b 4.908
_cell_length_c 4.908
_cell_angle_alpha 90.00
_cell_angle_beta 90.00
_cell_angle_gamma 90.00
_space_group_name_H-M_alt 'P m -3 m'
_space_group_IT_number 221
_space_group_name_Hall '-P 4 2 3'
loop_
_atom_site_label
_atom_site_type_symbol
_atom_site_fract_x
_atom_site_fract_y
_atom_site_fract_z
Mg1 Mg 0.000 0.000 0.500
Nb1 Nb 0.500 0.500 0.500
Mo1 Mo 0.000 0.000 0.000
```

Calculated values
Energy relative to the lowest polymorph listed for this composition = 0.0 meV per atom
Energy of formation = 1.5808 eV per atom
DOS at the Fermi energy = 6.68 states/eV/f.u.

=====

[5]
PaSiTe | PBE | optimized geometry

CIF file:
```
data_PaSiTe
_cell_length_a 4.127
_cell_length_b 4.127
_cell_length_c 8.606
_cell_angle_alpha 90.00
_cell_angle_beta 90.00
_cell_angle_gamma 90.00
_space_group_name_H-M_alt 'P 4/n m m'
_space_group_IT_number 129
loop_
_space_group_symop_operation_xyz
'x,y,z'
'-x,-y,-z'
'-y+1/2,x,z'
'y+1/2,-x,-z'
'-x+1/2,-y+1/2,z'
'x+1/2,y+1/2,-z'
'y,-x+1/2,z'
'-y,x+1/2,-z'
'x+1/2,-y,-z'
'-x+1/2,y,z'
'-y,-x,-z'
'y,x,z'
'-x,y+1/2,-z'
'x,-y+1/2,z'
'y+1/2,x+1/2,-z'
'-y+1/2,-x+1/2,z'
loop_
_atom_site_label
_atom_site_type_symbol
_atom_site_fract_x
_atom_site_fract_y
_atom_site_fract_z
Pa1 Pa 0.250 0.250 0.242
Si1 Si 0.250 0.750 0.000
Te1 Te 0.250 0.250 0.633
```

Calculated values
Energy relative to the lowest polymorph listed for this composition = 0.0 meV per atom
DOS at the Fermi energy = 2.93 states/eV/f.u.
Uncorrected formation energy = -614 meV per atom

=====

[6]
Cd2RePtPb | PBE | optimized geometry

CIF file:
```
data_Cd2RePtPb
_cell_length_a 5.308
_cell_length_b 5.308
_cell_length_c 5.271
_cell_angle_alpha 90.00
_cell_angle_beta 90.00
_cell_angle_gamma 90.00
_space_group_name_H-M_alt 'P 4/m m m'
_space_group_IT_number 123
_space_group_name_Hall '-P 4 2'
loop_
_atom_site_label
_atom_site_type_symbol
_atom_site_fract_x
_atom_site_fract_y
_atom_site_fract_z
Cd1 Cd 0.000 0.500 0.000
Re1 Re 0.000 0.000 0.500
Pt1 Pt 0.500 0.500 0.500
Pb1 Pb 0.000 0.000 0.000
```

Calculated values
Energy of formation = 1.8908 eV per atom
DOS at the Fermi energy = 3.77 states/eV/f.u.

=====

[7]
PuSnH | PBE | optimized geometry

CIF file:
```
data_PuSnH
_cell_length_a 4.188
_cell_length_b 12.371
_cell_length_c 4.329
_cell_angle_alpha 90.00
_cell_angle_beta 90.00
_cell_angle_gamma 90.00
_space_group_name_H-M_alt 'C m c m'
_space_group_IT_number 63
_space_group_name_Hall '-C 2c 2'
loop_
_atom_site_label
_atom_site_type_symbol
_atom_site_fract_x
_atom_site_fract_y
_atom_site_fract_z
Pu1 Pu 0.000 0.168 0.250
Sn1 Sn 0.000 0.428 0.250
H1 H 0.000 0.250 0.750
```

Calculated values
Energy relative to the lowest polymorph listed for this composition = 0.0 meV per atom
DOS at the Fermi energy = 9.26 states/eV/f.u.

=====

[8]
TmMnCo2 | PBE | optimized geometry

CIF file:
```
data_TmMnCo2
_cell_length_a 4.778
_cell_length_b 4.564
_cell_length_c 11.861
_cell_angle_alpha 90.00
_cell_angle_beta 90.00
_cell_angle_gamma 90.00
_space_group_name_H-M_alt 'P m m a'
_space_group_IT_number 51
_space_group_name_Hall '-P 2a 2a'
loop_
_atom_site_label
_atom_site_type_symbol
_atom_site_fract_x
_atom_site_fract_y
_atom_site_fract_z
Tm1 Tm 0.250 0.000 0.091
Tm2 Tm 0.250 0.500 0.301
Mn1 Mn 0.250 0.000 0.676
Mn2 Mn 0.250 0.500 0.547
Co1 Co 0.000 0.000 0.500
Co2 Co 0.000 0.500 0.000
Co3 Co 0.250 0.256 0.844
```

Calculated values
Energy relative to the lowest polymorph listed for this composition = 99.6 meV per atom
Energy of formation = 0.0522 eV per atom
DOS at the Fermi energy = 3.77 states/eV/f.u.

=====

[9]
Tb2TiS5 | PBE | optimized geometry

CIF file:
```
data_Tb2TiS5
_cell_length_a 11.313
_cell_length_b 7.681
_cell_length_c 7.174
_cell_angle_alpha 90.00
_cell_angle_beta 90.00
_cell_angle_gamma 90.00
_space_group_name_H-M_alt 'P n m a'
_space_group_IT_number 62
_space_group_name_Hall '-P 2ac 2n'
loop_
_atom_site_label
_atom_site_type_symbol
_atom_site_fract_x
_atom_site_fract_y
_atom_site_fract_z
Tb1 Tb 0.177 0.003 0.034
Ti1 Ti 0.007 0.750 0.578
S1 S 0.005 0.750 0.942
S2 S 0.083 0.033 0.662
S3 S 0.183 0.750 0.342
S4 S 0.203 0.250 0.324
```

Calculated values
Energy relative to the lowest polymorph listed for this composition = 0.0 meV per atom
Uncorrected formation energy = -1753 meV per atom

=====

[10]
CoAgIr | PBE | optimized geometry

CIF file:
```
data_CoAgIr
_cell_length_a 2.784
_cell_length_b 4.615
_cell_length_c 13.908
_cell_angle_alpha 90.00
_cell_angle_beta 90.00
_cell_angle_gamma 90.00
_space_group_name_H-M_alt 'F m m 2'
_space_group_IT_number 42
_space_group_name_Hall 'F 2 -2'
loop_
_atom_site_label
_atom_site_type_symbol
_atom_site_fract_x
_atom_site_fract_y
_atom_site_fract_z
Co1 Co 0.000 0.000 0.000
Ag1 Ag 0.000 0.000 0.668
Ir1 Ir 0.000 0.000 0.351
```

Calculated values
Energy relative to the lowest polymorph listed for this composition = 128.1 meV per atom
Energy of formation = 0.3678 eV per atom
DOS at the Fermi energy = 3.30 states/eV/f.u.

=====

[11]
PaTl2AgSe4 | PBE | optimized geometry

CIF file:
```
data_PaTl2AgSe4
_cell_length_a 6.835
_cell_length_b 4.263
_cell_length_c 8.178
_cell_angle_alpha 90.00
_cell_angle_beta 107.37
_cell_angle_gamma 90.00
_space_group_name_H-M_alt 'P 1 2/m 1'
_space_group_IT_number 10
_space_group_name_Hall '-P 2y'
loop_
_atom_site_label
_atom_site_type_symbol
_atom_site_fract_x
_atom_site_fract_y
_atom_site_fract_z
Pa1 Pa 0.000 0.000 0.000
Tl1 Tl 0.000 0.500 0.500
Tl2 Tl 0.500 0.000 0.500
Ag1 Ag 0.500 0.500 0.000
Se1 Se 0.225 0.500 0.204
Se2 Se 0.248 0.000 0.794
```

Calculated values
Uncorrected formation energy = -758 meV per atom

=====

[12]
PmCuSiPd | PBE | optimized geometry

CIF file:
```
data_PmCuSiPd
_cell_length_a 6.583
_cell_length_b 6.583
_cell_length_c 6.583
_cell_angle_alpha 90.00
_cell_angle_beta 90.00
_cell_angle_gamma 90.00
_space_group_name_H-M_alt 'F -4 3 m'
_space_group_IT_number 216
_space_group_name_Hall 'F -4 2 3'
loop_
_atom_site_label
_atom_site_type_symbol
_atom_site_fract_x
_atom_site_fract_y
_atom_site_fract_z
Pm1 Pm 0.000 0.000 0.000
Cu1 Cu 0.250 0.250 0.250
Si1 Si 0.000 0.000 0.500
Pd1 Pd 0.250 0.250 0.750
```

Calculated values
DOS at the Fermi energy = 1.72 states/eV/f.u.
Uncorrected formation energy = -422 meV per atom